# Tm3Zr3Sb2Os PBE relaxed
# Total magnetization = 0.03 μB/atom
# Uncorrected energy = -0.2618 hartree per atom
data_Tm3Zr3Sb2Os
_space_group_name_H-M_alt 'P -6 2 m'
_space_group_IT_number 189
_space_group_name_Hall 'P -6 -2'
_cell_length_a 7.9585
_cell_length_b 7.9585
_cell_length_c 3.9590
_cell_angle_alpha 90.00
_cell_angle_beta 90.00
_cell_angle_gamma 120.00
loop_
_atom_site_label
_atom_site_fract_x
_atom_site_fract_y
_atom_site_fract_z
Tm1 0.0000 0.3967 0.0000
Zr1 0.0000 0.7621 0.5000
Sb1 0.3333 0.6667 0.5000
Os1 0.0000 0.0000 0.0000